The following is a PBE calculation of a geometry-optimized Tm4AlPb2 structure, from the Alexandria database.

Lattice parameters (Å, degrees): 5.533 6.459 10.724 90.00 99.86 90.00
Space group P2_1/m (No. 11)
Symmetry-distinct sites (fractional):
Tm1 0.136 0.250 0.117
Tm2 0.236 0.750 0.439
Tm3 0.322 0.008 0.733
Al1 0.094 0.750 0.173
Pb1 0.220 0.250 0.423
Pb2 0.409 0.750 0.003

Computed properties:
- Raw total energy: -4.421 eV per atom
- DOS at the Fermi energy: 0.805 states/eV/atom
- Total moment: 0.00 μB per atom

---

The following is a PBE calculation of a geometry-optimized Tm8Al2Pb structure, from the Alexandria database.

Lattice parameters (Å, degrees): 16.463 4.912 7.906 90.00 112.33 90.00
Space group C2/m (No. 12)
Symmetry-distinct sites (fractional):
Tm1 0.051 0.000 0.225
Tm2 0.104 0.500 0.962
Tm3 0.159 0.000 0.727
Tm4 0.181 0.500 0.443
Al1 0.219 0.000 0.150
Pb1 0.000 0.500 0.500

Computed properties:
- Raw total energy: -4.487 eV per atom
- DOS at the Fermi energy: 0.999 states/eV/atom
- Total moment: 0.00 μB per atom

---

The following is a PBE calculation of a geometry-optimized Tm4AlPb structure, from the Alexandria database.

Lattice parameters (Å, degrees): 5.271 21.785 6.406 90.00 90.00 90.00
Space group Cmcm (No. 63)
Symmetry-distinct sites (fractional):
Tm1 0.000 0.068 0.250
Tm2 0.000 0.206 0.008
Tm3 0.000 0.360 0.250
Al1 0.000 0.334 0.750
Pb1 0.000 0.071 0.750

Computed properties:
- ΔE to the lowest computed polymorph: 149.5 meV/atom
- Raw total energy: -4.356 eV per atom
- DOS at the Fermi energy: 0.891 states/eV/atom
- Total moment: 0.00 μB per atom

---

The following is a PBE calculation of a geometry-optimized Tm4AlPb structure, from the Alexandria database.

Lattice parameters (Å, degrees): 13.848 13.848 13.848 90.00 90.00 90.00
Space group F-43m (No. 216)
Symmetry-distinct sites (fractional):
Tm1 0.000 0.000 0.185
Tm2 0.052 0.250 0.750
Tm3 0.127 0.127 0.373
Al1 0.159 0.159 0.159
Pb1 0.098 0.098 0.598

Computed properties:
- ΔE to the lowest computed polymorph: 0.0 meV/atom
- Raw total energy: -4.505 eV per atom
- DOS at the Fermi energy: 0.934 states/eV/atom
- Total moment: 0.00 μB per atom

---

The following is a PBE calculation of a geometry-optimized TmAlPb structure, from the Alexandria database.

Lattice parameters (Å, degrees): 5.0508 5.0508 3.3585 90.00 90.00 120.00
Space group P3m1 (No. 156)
Symmetry-distinct sites (fractional):
Tm1 0.0000 0.0000 0.0000
Al1 0.6667 0.3333 0.4992
Pb1 0.3333 0.6667 0.5016

Computed properties:
- ΔE to the lowest computed polymorph: 104.6 meV/atom
- Raw total energy: -4.126 eV per atom
- DOS at the Fermi energy: 0.629 states/eV/atom
- Total moment: 0.00 μB per atom

---

The following is a PBE calculation of a geometry-optimized Tm2AlPb structure, from the Alexandria database.

Lattice parameters (Å, degrees): 3.405 3.405 8.674 90.00 90.00 90.00
Space group P4/mmm (No. 123)
Symmetry-distinct sites (fractional):
Tm1 0.000 0.000 0.228
Al1 0.500 0.500 0.000
Pb1 0.500 0.500 0.500

Computed properties:
- Raw total energy: -4.463 eV per atom
- DOS at the Fermi energy: 0.430 states/eV/atom
- Total moment: 0.00 μB per atom